Record 1
The following is a PBE calculation of a geometry-optimized NaPmMg structure, from OQMD via LeMat-Bulk.

The space group is F-43m (No. 216) and the conventional cell measures 7.4472, 7.4472 and 7.4472 Å, with angles of 90.00, 90.00 and 90.00 degrees. The distinct sites, in fractional coordinates, are Na at (0.0000, 0.0000, 0.0000), Pm at (0.0000, 0.0000, 0.5000) and Mg at (0.2500, 0.2500, 0.2500).

The calculation puts the energy above the most stable polymorph in this dataset at 0.000 eV per atom. The calculated volume is 413 Å³/cell. The crystal system is cubic.

Record 2
The following is a PBE calculation of a geometry-optimized Zr8P2C3N3 structure, from OQMD via LeMat-Bulk.

The space group is P-3m1 (No. 164) and the conventional cell measures 3.3679, 3.3679 and 22.8980 Å, with angles of 90.00, 90.00 and 120.00 degrees. The distinct sites, in fractional coordinates, are Zr at (0.0000, 0.0000, 0.1687), Zr at (0.0000, 0.0000, 0.3274), Zr at (0.3333, 0.6667, 0.5574), Zr at (0.3333, 0.6667, 0.9415), P at (0.3333, 0.6667, 0.7531), C at (0.0000, 0.0000, 0.5000), C at (0.3333, 0.6667, 0.3804), N at (0.0000, 0.0000, 0.0000) and N at (0.3333, 0.6667, 0.1131).

The calculated volume is 225 Å³/cell. The crystal system is trigonal. The calculation puts the energy at -9.49 eV per atom.

Record 3
The following is a PBE calculation of a geometry-optimized FeNiBi4 structure, from OQMD via LeMat-Bulk.

The space group is P2/m (No. 10) and the conventional cell measures 5.9569, 3.5139 and 6.7666 Å, with angles of 90.00, 90.13 and 90.00 degrees. The distinct sites, in fractional coordinates, are Fe at (0.0000, 0.0000, 0.0000), Ni at (0.5000, 0.5000, 0.5000), Bi at (0.1999, 0.0000, 0.3514) and Bi at (0.2965, 0.5000, 0.8551).

The calculated volume is 142 Å³/cell. The crystal system is monoclinic. The calculation puts the energy at -4.89 eV per atom.

Record 4
The following is a PBE calculation of a geometry-optimized ErSnPd structure, from OQMD via LeMat-Bulk.

The space group is Pnma (No. 62) and the conventional cell measures 7.1271, 4.6202 and 7.9304 Å, with angles of 90.00, 90.00 and 90.00 degrees. The distinct sites, in fractional coordinates, are Er at (0.0083, 0.2500, 0.2056), Sn at (0.1940, 0.2500, 0.5883) and Pd at (0.2087, 0.7500, 0.4174).

The calculated volume is 261 Å³/cell. The crystal system is orthorhombic. The calculation puts the energy at -5.49 eV per atom.

Record 5
The following is a PBE calculation of a geometry-optimized KNaAsPd structure, from OQMD via LeMat-Bulk.

The space group is Ama2 (No. 40) and the conventional cell measures 5.7242, 7.3572 and 9.3945 Å, with angles of 90.00, 90.00 and 90.00 degrees. The distinct sites, in fractional coordinates, are K at (0.2500, 0.1523, 0.0000), Na at (0.2500, 0.1504, 0.6503), As at (0.2500, 0.2691, 0.3268) and Pd at (0.0000, 0.0000, 0.3270).

The calculation puts the energy above the most stable polymorph in this dataset at 0.018 eV per atom. The calculated volume is 396 Å³/cell. The crystal system is orthorhombic.

Record 6
The following is a PBE calculation of a geometry-optimized PmGdPO structure, from OQMD via LeMat-Bulk.

The space group is Pmc2_1 (No. 26) and the conventional cell measures 4.2579, 7.5945 and 5.8650 Å, with angles of 90.00, 90.00 and 90.00 degrees. The distinct sites, in fractional coordinates, are Pm at (0.0000, 0.1976, 0.0000), Gd at (0.5000, 0.3800, 0.5624), P at (0.0000, 0.1691, 0.4961) and O at (0.5000, 0.3318, 0.9418).

The calculation puts the energy above the most stable polymorph in this dataset at 0.000 eV per atom. The calculated volume is 190 Å³/cell. The crystal system is orthorhombic.

Record 7
The following is a PBE calculation of a geometry-optimized CuSbF6 structure, from OQMD via LeMat-Bulk.

The space group is P-1 (No. 2) and the conventional cell measures 4.8190, 4.8285 and 5.4002 Å, with angles of 63.77, 63.57 and 60.23 degrees. The distinct sites, in fractional coordinates, are Cu at (0.0000, 0.0000, 0.0000), Sb at (0.5000, 0.5000, 0.5000), F at (0.0818, 0.4319, 0.7462), F at (0.2590, 0.9165, 0.2566) and F at (0.4341, 0.7406, 0.7451).

The calculated volume is 94 Å³/cell. The crystal system is triclinic. The calculation puts the energy at -4.31 eV per atom.

Record 8
The following is a PBE calculation of a geometry-optimized Fe2Ir structure, from OQMD via LeMat-Bulk.

The space group is Fm-3m (No. 225) and the conventional cell measures 5.7648, 5.7648 and 5.7648 Å, with angles of 90.00, 90.00 and 90.00 degrees. The distinct sites, in fractional coordinates, are Fe at (0.2500, 0.2500, 0.2500) and Ir at (0.0000, 0.0000, 0.0000).

The calculated volume is 192 Å³/cell. The crystal system is cubic. The calculation puts the energy at -7.96 eV per atom.